a:
Crystalline Nd5HoTl4 at its relaxed geometry. Source: Alexandria, functional PBE.

Crystal system: tetragonal
Symmetry: No. 123

abc: 3.698 3.698 22.417
angles: 90.00 90.00 90.00
Fractional coordinates of all 10 atoms:
Nd  0.000  0.000  0.000
Nd  0.000  0.000  0.194
Nd  0.000  0.000  0.388
Nd  0.000  0.000  0.612
Nd  0.000  0.000  0.806
Ho  0.500  0.500  0.500
Tl  0.500  0.500  0.097
Tl  0.500  0.500  0.291
Tl  0.500  0.500  0.709
Tl  0.500  0.500  0.903



b:
Crystalline Nd5HoTl4 at its relaxed geometry. Source: Alexandria, functional PBE.

Crystal system: orthorhombic
Symmetry: No. 59

abc: 8.452 9.338 8.759
angles: 90.00 90.00 90.00
Fractional coordinates of all 20 atoms:
Nd  0.011  0.056  0.234
Nd  0.011  0.444  0.234
Nd  0.250  0.750  0.171
Nd  0.489  0.056  0.234
Nd  0.489  0.444  0.234
Nd  0.511  0.556  0.766
Nd  0.511  0.944  0.766
Nd  0.750  0.250  0.829
Nd  0.989  0.556  0.766
Nd  0.989  0.944  0.766
Ho  0.250  0.250  0.585
Ho  0.750  0.750  0.415
Tl  0.083  0.250  0.935
Tl  0.250  0.584  0.500
Tl  0.250  0.916  0.500
Tl  0.417  0.250  0.935
Tl  0.583  0.750  0.065
Tl  0.750  0.084  0.500
Tl  0.750  0.416  0.500
Tl  0.917  0.750  0.065



Which of them is most stable? Easy: a.



a:
Crystalline Nd2Ho3Tl4 at its relaxed geometry. Source: Alexandria, functional PBE.

Crystal system: monoclinic
Symmetry: No. 12

abc: 5.308 5.308 10.748
angles: 90.10 90.10 60.08
Fractional coordinates of all 9 atoms:
Nd  0.167  0.167  0.278
Nd  0.833  0.833  0.722
Ho  0.167  0.167  0.927
Ho  0.500  0.500  0.500
Ho  0.833  0.833  0.073
Tl  0.166  0.166  0.603
Tl  0.500  0.500  0.150
Tl  0.500  0.500  0.850
Tl  0.834  0.834  0.397



b:
Crystalline Nd2Ho3Tl4 at its relaxed geometry. Source: Alexandria, functional PBE.

Crystal system: orthorhombic
Symmetry: No. 64

abc: 9.080 9.080 9.102
angles: 90.00 90.00 133.52
Fractional coordinates of all 18 atoms:
Nd  0.109  0.891  0.922
Nd  0.391  0.609  0.422
Nd  0.609  0.391  0.578
Nd  0.891  0.109  0.078
Ho  0.000  0.000  0.500
Ho  0.034  0.466  0.750
Ho  0.466  0.034  0.250
Ho  0.500  0.500  0.000
Ho  0.534  0.966  0.750
Ho  0.966  0.534  0.250
Tl  0.185  0.815  0.542
Tl  0.217  0.283  0.750
Tl  0.283  0.217  0.250
Tl  0.315  0.685  0.042
Tl  0.685  0.315  0.958
Tl  0.717  0.783  0.750
Tl  0.783  0.717  0.250
Tl  0.815  0.185  0.458



Which of them is most stable? Easy: a.



a:
Crystalline Nd4Ho3Tl at its relaxed geometry. Source: Alexandria, functional PBE.

Crystal system: orthorhombic
Symmetry: No. 31

abc: 11.425 6.328 7.048
angles: 90.00 90.00 90.00
Fractional coordinates of all 16 atoms:
Nd  0.000  0.164  0.000
Nd  0.000  0.691  0.752
Nd  0.237  0.973  0.253
Nd  0.263  0.027  0.753
Nd  0.500  0.309  0.252
Nd  0.500  0.836  0.500
Nd  0.737  0.027  0.753
Nd  0.763  0.973  0.253
Ho  0.000  0.183  0.507
Ho  0.249  0.500  0.007
Ho  0.251  0.500  0.507
Ho  0.500  0.817  0.007
Ho  0.749  0.500  0.507
Ho  0.751  0.500  0.007
Tl  0.000  0.642  0.257
Tl  0.500  0.358  0.757



b:
Crystalline Nd4Ho3Tl at its relaxed geometry. Source: Alexandria, functional PBE.

Crystal system: tetragonal
Symmetry: No. 139

abc: 10.781 10.781 10.781
angles: 153.21 153.21 38.25
Fractional coordinates of all 8 atoms:
Nd  0.122  0.622  0.500
Nd  0.378  0.878  0.500
Nd  0.622  0.122  0.500
Nd  0.878  0.378  0.500
Ho  0.000  0.000  0.000
Ho  0.249  0.249  0.000
Ho  0.751  0.751  0.000
Tl  0.500  0.500  0.000



Which of them is most stable? Easy: b.



a:
Crystalline Nd3Ho2Tl at its relaxed geometry. Source: Alexandria, functional PBE.

Crystal system: monoclinic
Symmetry: No. 15

abc: 9.349 9.349 6.530
angles: 98.37 98.37 43.14
Fractional coordinates of all 12 atoms:
Nd  0.051  0.287  0.044
Nd  0.229  0.771  0.750
Nd  0.287  0.051  0.544
Nd  0.713  0.949  0.456
Nd  0.771  0.229  0.250
Nd  0.949  0.713  0.956
Ho  0.229  0.448  0.429
Ho  0.448  0.229  0.929
Ho  0.552  0.771  0.071
Ho  0.771  0.552  0.571
Tl  0.282  0.718  0.250
Tl  0.718  0.282  0.750



b:
Crystalline Nd3Ho2Tl at its relaxed geometry. Source: Alexandria, functional PBE.

Crystal system: orthorhombic
Symmetry: No. 65

abc: 8.060 8.060 4.924
angles: 90.00 90.00 143.83
Fractional coordinates of all 6 atoms:
Nd  0.000  0.000  0.000
Nd  0.330  0.670  0.000
Nd  0.670  0.330  0.000
Ho  0.163  0.837  0.500
Ho  0.837  0.163  0.500
Tl  0.500  0.500  0.500



Which of them is most stable? Easy: b.



a:
Crystalline Nd4HoTl2 at its relaxed geometry. Source: Alexandria, functional PBE.

Crystal system: trigonal
Symmetry: No. 166

abc: 9.575 9.575 9.575
angles: 34.08 34.08 34.08
Fractional coordinates of all 7 atoms:
Nd  0.131  0.131  0.131
Nd  0.268  0.268  0.268
Nd  0.732  0.732  0.732
Nd  0.869  0.869  0.869
Ho  0.500  0.500  0.500
Tl  0.386  0.386  0.386
Tl  0.614  0.614  0.614



b:
Crystalline Nd4HoTl2 at its relaxed geometry. Source: Alexandria, functional PBE.

Crystal system: triclinic
Symmetry: No. 2

abc: 6.280 6.322 6.353
angles: 114.44 94.00 94.26
Fractional coordinates of all 7 atoms:
Nd  0.000  0.000  0.000
Nd  0.000  0.500  0.500
Nd  0.500  0.204  0.293
Nd  0.500  0.796  0.707
Ho  0.000  0.000  0.500
Tl  0.267  0.576  0.077
Tl  0.733  0.424  0.923



Which of them is most stable? Easy: a.



a:
Crystalline NdHo3Tm5 at its relaxed geometry. Source: Alexandria, functional PBE.

Crystal system: monoclinic
Symmetry: No. 12

abc: 9.241 9.241 12.089
angles: 125.95 125.95 50.52
Fractional coordinates of all 18 atoms:
Nd  0.237  0.237  0.132
Nd  0.763  0.763  0.868
Ho  0.000  0.000  0.000
Ho  0.170  0.170  0.340
Ho  0.379  0.379  0.685
Ho  0.500  0.500  0.500
Ho  0.621  0.621  0.315
Ho  0.830  0.830  0.660
Tm  0.121  0.121  0.565
Tm  0.141  0.729  0.219
Tm  0.271  0.859  0.781
Tm  0.299  0.299  0.927
Tm  0.322  0.678  0.000
Tm  0.678  0.322  0.000
Tm  0.701  0.701  0.073
Tm  0.729  0.141  0.219
Tm  0.859  0.271  0.781
Tm  0.879  0.879  0.435



b:
Crystalline NdHo3Tm5 at its relaxed geometry. Source: Alexandria, functional PBE.

Crystal system: orthorhombic
Symmetry: No. 74

abc: 10.422 10.422 10.422
angles: 140.04 67.67 127.84
Fractional coordinates of all 18 atoms:
Nd  0.299  0.049  0.250
Nd  0.701  0.951  0.750
Ho  0.000  0.000  0.500
Ho  0.000  0.500  0.000
Ho  0.185  0.748  0.437
Ho  0.190  0.252  0.937
Ho  0.810  0.748  0.063
Ho  0.815  0.252  0.563
Tm  0.156  0.318  0.335
Tm  0.156  0.821  0.838
Tm  0.342  0.592  0.750
Tm  0.483  0.318  0.662
Tm  0.483  0.821  0.165
Tm  0.517  0.179  0.835
Tm  0.517  0.682  0.338
Tm  0.658  0.408  0.250
Tm  0.844  0.179  0.162
Tm  0.844  0.682  0.665



Which of them is most stable? Easy: b.



a:
Crystalline Nd7Ho3Tm2 at its relaxed geometry. Source: Alexandria, functional PBE.

Crystal system: monoclinic
Symmetry: No. 10

abc: 6.317 5.533 12.204
angles: 90.00 90.14 90.00
Fractional coordinates of all 12 atoms:
Nd  0.000  0.000  0.000
Nd  0.093  0.500  0.172
Nd  0.246  0.500  0.455
Nd  0.441  0.000  0.187
Nd  0.559  0.000  0.813
Nd  0.754  0.500  0.545
Nd  0.907  0.500  0.828
Ho  0.070  0.000  0.656
Ho  0.500  0.500  0.000
Ho  0.930  0.000  0.344
Tm  0.380  0.500  0.725
Tm  0.620  0.500  0.275



b:
Crystalline Nd7Ho3Tm2 at its relaxed geometry. Source: Alexandria, functional PBE.

Crystal system: orthorhombic
Symmetry: No. 65

abc: 19.339 19.339 3.624
angles: 90.00 90.00 162.74
Fractional coordinates of all 12 atoms:
Nd  0.000  0.000  0.000
Nd  0.073  0.927  0.500
Nd  0.232  0.768  0.000
Nd  0.406  0.594  0.000
Nd  0.594  0.406  0.000
Nd  0.768  0.232  0.000
Nd  0.927  0.073  0.500
Ho  0.316  0.684  0.500
Ho  0.500  0.500  0.500
Ho  0.684  0.316  0.500
Tm  0.149  0.851  0.000
Tm  0.851  0.149  0.000



Which of them is most stable? Easy: b.



a:
Crystalline Nd4HoTm5 at its relaxed geometry. Source: Alexandria, functional PBE.

Crystal system: tetragonal
Symmetry: No. 107

abc: 8.105 8.105 8.105
angles: 97.59 97.59 137.39
Fractional coordinates of all 10 atoms:
Nd  0.000  0.323  0.323
Nd  0.000  0.677  0.677
Nd  0.323  0.000  0.323
Nd  0.677  0.000  0.677
Ho  0.757  0.757  0.000
Tm  0.236  0.236  0.000
Tm  0.307  0.307  0.623
Tm  0.307  0.684  0.000
Tm  0.684  0.307  0.000
Tm  0.684  0.684  0.377



b:
Crystalline Nd4HoTm5 at its relaxed geometry. Source: Alexandria, functional PBE.

Crystal system: triclinic
Symmetry: No. 2

abc: 3.508 8.691 11.258
angles: 89.91 90.00 78.43
Fractional coordinates of all 10 atoms:
Nd  0.032  0.434  0.249
Nd  0.343  0.818  0.250
Nd  0.657  0.182  0.750
Nd  0.968  0.566  0.751
Ho  0.500  0.500  0.500
Tm  0.172  0.154  0.047
Tm  0.173  0.153  0.452
Tm  0.500  0.500  0.000
Tm  0.827  0.847  0.548
Tm  0.828  0.846  0.953



Which of them is most stable? Easy: b.



a:
Crystalline Nd12Ho6Tm at its relaxed geometry. Source: Alexandria, functional PBE.

Crystal system: trigonal
Symmetry: No. 148

abc: 8.675 8.675 8.675
angles: 88.93 88.93 88.93
Fractional coordinates of all 19 atoms:
Nd  0.018  0.193  0.363
Nd  0.193  0.363  0.018
Nd  0.219  0.463  0.567
Nd  0.363  0.018  0.193
Nd  0.433  0.781  0.537
Nd  0.463  0.567  0.219
Nd  0.537  0.433  0.781
Nd  0.567  0.219  0.463
Nd  0.637  0.982  0.807
Nd  0.781  0.537  0.433
Nd  0.807  0.637  0.982
Nd  0.982  0.807  0.637
Ho  0.099  0.704  0.259
Ho  0.259  0.099  0.704
Ho  0.296  0.741  0.901
Ho  0.704  0.259  0.099
Ho  0.741  0.901  0.296
Ho  0.901  0.296  0.741
Tm  0.000  0.000  0.000



b:
Crystalline Nd12Ho6Tm at its relaxed geometry. Source: Alexandria, functional PBE.

Crystal system: trigonal
Symmetry: No. 148

abc: 9.576 9.576 9.576
angles: 110.89 110.89 110.89
Fractional coordinates of all 19 atoms:
Nd  0.056  0.580  0.371
Nd  0.104  0.157  0.738
Nd  0.157  0.738  0.104
Nd  0.262  0.896  0.843
Nd  0.371  0.056  0.580
Nd  0.420  0.629  0.944
Nd  0.580  0.371  0.056
Nd  0.629  0.944  0.420
Nd  0.738  0.104  0.157
Nd  0.843  0.262  0.896
Nd  0.896  0.843  0.262
Nd  0.944  0.420  0.629
Ho  0.213  0.317  0.471
Ho  0.317  0.471  0.213
Ho  0.471  0.213  0.317
Ho  0.529  0.787  0.683
Ho  0.683  0.529  0.787
Ho  0.787  0.683  0.529
Tm  0.000  0.000  0.000



Which of them is most stable? Easy: b.